A relaxed Sm2Dy7Th crystal. Source: Alexandria, functional PBE.

Results
Volume ... 345 Å³ per cell
Formation energy ... 0.444 eV per atom
Crystal system ... orthorhombic
E above lowest polymorph ... 276.7 meV per atom

a = 3.481 Å, b = 10.230 Å, c = 10.230 Å
α = 108.96°, β = 90.04°, γ = 90.04°
Fractional coordinates of all 10 atoms:
Dy1 0.000 0.671 0.329
Dy2 0.000 0.329 0.671
Dy3 0.499 0.133 0.385
Dy4 0.501 0.867 0.615
Dy5 0.500 0.500 0.500
Dy6 0.501 0.615 0.867
Dy7 0.499 0.385 0.133
Sm1 0.500 0.830 0.170
Sm2 0.500 0.170 0.830
Th1 0.000 0.000 0.000

=====

A relaxed PmDy2Zn2Ge2 crystal. Source: Alexandria, functional PBE.

Results
Volume ... 167 Å³ per cell
Formation energy ... -0.461 eV per atom
Crystal system ... trigonal

a = 4.152 Å, b = 4.152 Å, c = 11.442 Å
α = 79.55°, β = 79.55°, γ = 60.00°
Fractional coordinates of all 7 atoms:
Pm1 0.000 0.000 0.000
Ge1 0.735 0.735 0.794
Ge2 0.265 0.265 0.206
Dy1 0.876 0.876 0.372
Dy2 0.124 0.124 0.628
Zn1 0.608 0.608 0.177
Zn2 0.392 0.392 0.823

=====

A relaxed CaSnAsPd2 crystal. Source: Alexandria, functional PBE.

Results
Volume ... 122 Å³ per cell
Formation energy ... -0.227 eV per atom
Crystal system ... tetragonal

a = 4.769 Å, b = 5.381 Å, c = 4.769 Å
α = 90.00°, β = 90.00°, γ = 90.00°
Fractional coordinates of all 5 atoms:
Sn1 0.000 0.500 0.000
As1 0.000 0.000 0.000
Ca1 0.500 0.500 0.500
Pd1 0.000 0.000 0.500
Pd2 0.500 0.000 0.000

=====

A relaxed Na2SmAlS4 crystal. Source: Alexandria, functional PBE.

Results
Volume ... 338 Å³ per cell
ΔE_f (raw) ... -32.36 kcal/mol of atoms
Crystal system ... orthorhombic

a = 7.832 Å, b = 7.832 Å, c = 8.096 Å
α = 121.12°, β = 121.12°, γ = 90.18°
Fractional coordinates of all 16 atoms:
Sm1 0.000 0.500 0.500
Sm2 0.000 0.500 0.000
S1 0.231 0.767 0.999
S2 0.251 0.249 0.456
S3 0.733 0.269 0.501
S4 0.251 0.249 0.044
S5 0.749 0.751 0.956
S6 0.267 0.731 0.499
S7 0.749 0.751 0.544
S8 0.769 0.233 0.001
Al1 0.500 0.500 0.500
Al2 0.000 0.000 0.000
Na1 0.500 0.000 0.000
Na2 0.000 0.000 0.500
Na3 0.500 0.000 0.500
Na4 0.500 0.500 0.000